Compound: HgTeIr2
Source: the Alexandria database
Functional: GGA-PBE
Structure: optimized geometry

Crystal system: tetragonal
Calculated density in g/cm3: 14.9
Distance to the lowest polymorph of the same formula in kJ/mol of atoms: 25.70
Symmetry: I-42d, No. 122
Energy relative to the elements, uncorrected in eV per atom: 0.674

Geometry as POSCAR:
```
HgTeIr2
1.0
-3.686 3.686 2.929
3.686 -3.686 2.929
3.686 3.686 -2.929
Hg Te Ir
2 2 4
Cartesian
0.000 0.000 0.000
0.000 3.686 1.464
3.686 0.000 1.464
0.000 0.000 2.929
1.843 -1.614 2.197
2.072 1.843 0.732
1.843 5.300 -0.732
1.614 1.843 3.661
```

=====

Compound: MgAu2
Source: the Alexandria database
Functional: GGA-PBE
Structure: optimized geometry

Crystal system: cubic
Calculated density in g/cm3: 11.6
Symmetry: Fd-3m, No. 227
Energy of formation in eV per atom: -0.2857

Geometry as POSCAR:
```
MgAu2
1.0
0.000 3.907 3.907
3.907 0.000 3.907
3.907 3.907 0.000
Mg Au
2 4
Cartesian
0.977 0.977 0.977
6.838 6.838 6.838
3.907 1.954 1.954
1.954 3.907 1.954
1.954 1.954 3.907
3.907 3.907 3.907
```

=====

Which value of calculated density does entry 1 give? 14.9 g/cm3

=====

Which of these has the highest calculated density? HgTeIr2

=====

What is the calculated density in the second record? 11.6 g/cm3

=====

calculated density of number 1 (HgTeIr2)? 14.9 g/cm3